Model a:
# V2ReTc | the Alexandria database | PBE | optimized geometry
data_V2ReTc
_chemical_formula_sum 'V8 Re4 Tc4'
_space_group_name_H-M_alt 'I -4 2 d'
_space_group_IT_number 122
_space_group_name_Hall 'I -4 2bw'
_cell_length_a 6.782
_cell_length_b 6.782
_cell_length_c 5.250
_cell_angle_alpha 90.00
_cell_angle_beta 90.00
_cell_angle_gamma 90.00
loop_
_atom_site_label
_atom_site_type_symbol
_atom_site_fract_x
_atom_site_fract_y
_atom_site_fract_z
_atom_site_occupancy
V1 V 0.246 0.250 0.125 1
Re1 Re 0.000 0.000 0.500 1
Tc1 Tc 0.000 0.000 0.000 1
# * magnetic moment: 0.00 μB per formula unit


Model b:
# V2ReTc | the Alexandria database | PBE | optimized geometry
data_V2ReTc
_chemical_formula_sum 'V8 Re4 Tc4'
_space_group_name_H-M_alt 'F m -3 m'
_space_group_IT_number 225
_space_group_name_Hall '-F 4 2 3'
_cell_length_a 6.065
_cell_length_b 6.065
_cell_length_c 6.065
_cell_angle_alpha 90.00
_cell_angle_beta 90.00
_cell_angle_gamma 90.00
loop_
_atom_site_label
_atom_site_type_symbol
_atom_site_fract_x
_atom_site_fract_y
_atom_site_fract_z
_atom_site_occupancy
V1 V 0.250 0.250 0.250 1
Re1 Re 0.000 0.000 0.000 1
Tc1 Tc 0.000 0.000 0.500 1
# * magnetic moment: 0.00 μB per formula unit


Stability summary: most stable model b, least stable model a.


Model a:
# V2ReTc | the Alexandria database | PBE | optimized geometry
data_V2ReTc
_chemical_formula_sum 'V8 Re4 Tc4'
_space_group_name_H-M_alt 'I m m a'
_space_group_IT_number 74
_space_group_name_Hall '-I 2b 2'
_cell_length_a 3.039
_cell_length_b 4.267
_cell_length_c 17.254
_cell_angle_alpha 90.00
_cell_angle_beta 90.00
_cell_angle_gamma 90.00
loop_
_atom_site_label
_atom_site_type_symbol
_atom_site_fract_x
_atom_site_fract_y
_atom_site_fract_z
_atom_site_occupancy
V1 V 0.000 0.250 0.062 1
V2 V 0.000 0.250 0.813 1
Re1 Re 0.000 0.250 0.563 1
Tc1 Tc 0.000 0.250 0.313 1
# * magnetic moment: 0.00 μB per formula unit


Model b:
# V2ReTc | the Alexandria database | PBE | optimized geometry
data_V2ReTc
_chemical_formula_sum 'V2 Re1 Tc1'
_space_group_name_H-M_alt 'P 4/m m m'
_space_group_IT_number 123
_space_group_name_Hall '-P 4 2'
_cell_length_a 4.288
_cell_length_b 4.288
_cell_length_c 3.035
_cell_angle_alpha 90.00
_cell_angle_beta 90.00
_cell_angle_gamma 90.00
loop_
_atom_site_label
_atom_site_type_symbol
_atom_site_fract_x
_atom_site_fract_y
_atom_site_fract_z
_atom_site_occupancy
V1 V 0.000 0.500 0.000 1
Re1 Re 0.000 0.000 0.500 1
Tc1 Tc 0.500 0.500 0.500 1
# * magnetic moment: 0.00 μB per formula unit


Stability summary: most stable model b, least stable model a.


Model a:
# V3ReTc | the Alexandria database | PBE | optimized geometry
data_V3ReTc
_chemical_formula_sum 'V6 Re2 Tc2'
_space_group_name_H-M_alt 'P 1 21/m 1'
_space_group_IT_number 11
_space_group_name_Hall '-P 2yb'
_cell_length_a 4.270
_cell_length_b 4.282
_cell_length_c 7.860
_cell_angle_alpha 90.00
_cell_angle_beta 105.66
_cell_angle_gamma 90.00
loop_
_atom_site_label
_atom_site_type_symbol
_atom_site_fract_x
_atom_site_fract_y
_atom_site_fract_z
_atom_site_occupancy
V1 V 0.050 0.250 0.100 1
V2 V 0.250 0.250 0.500 1
V3 V 0.449 0.250 0.899 1
Re1 Re 0.149 0.750 0.298 1
Tc1 Tc 0.351 0.750 0.702 1
# * magnetic moment: 0.00 μB per formula unit


Model b:
# V3ReTc | the Alexandria database | PBE | optimized geometry
data_V3ReTc
_chemical_formula_sum 'V3 Re1 Tc1'
_space_group_name_H-M_alt 'P m -3 m'
_space_group_IT_number 221
_space_group_name_Hall '-P 4 2 3'
_cell_length_a 4.411
_cell_length_b 4.411
_cell_length_c 4.411
_cell_angle_alpha 90.00
_cell_angle_beta 90.00
_cell_angle_gamma 90.00
loop_
_atom_site_label
_atom_site_type_symbol
_atom_site_fract_x
_atom_site_fract_y
_atom_site_fract_z
_atom_site_occupancy
V1 V 0.000 0.000 0.500 1
Re1 Re 0.500 0.500 0.500 1
Tc1 Tc 0.000 0.000 0.000 1
# * magnetic moment: 0.03 μB per formula unit


Stability summary: most stable model a, least stable model b.